Below is an optimized crystal structure of ErTm6Zr, with properties calculated at the PBE-GGA level.

Unit cell a=6.6316 b=6.3436 c=6.8592 alpha=102.87 beta=58.09 gamma=92.54
Fractional positions:
Er: 0.0000 0.5000 0.0000
Tm: 0.0831 0.7454 0.5076
Tm: 0.4390 0.2245 0.4657
Tm: 0.5520 0.7564 0.0089
Tm: 0.4480 0.2436 0.9911
Tm: 0.9169 0.2546 0.4924
Tm: 0.5610 0.7755 0.5343
Zr: 0.0000 0.0000 0.0000

Results
Magnetic moment: 0.004 μB per cell
Final energy: -37.99 eV/f.u.
Space group: P-1
Offset from the most stable computed form: 0 meV/atom
Energy of formation from the pure elements: 0.244 eV/atom

***

Below is an optimized crystal structure of Er2Tm3Zr, with properties calculated at the PBE-GGA level.

Unit cell a=3.4264 b=6.9195 c=14.5513 alpha=90.03 beta=90.00 gamma=90.00
Fractional positions:
Er: 0.7500 0.1167 0.9104
Er: 0.2500 0.8833 0.0896
Er: 0.2500 0.3651 0.4118
Er: 0.7500 0.6349 0.5882
Tm: 0.7500 0.1161 0.5900
Tm: 0.2500 0.8839 0.4100
Tm: 0.2500 0.3652 0.0886
Tm: 0.7500 0.6348 0.9114
Tm: 0.2500 0.3789 0.7499
Tm: 0.7500 0.6211 0.2501
Zr: 0.2500 0.8726 0.7499
Zr: 0.7500 0.1274 0.2501

Results
Magnetic moment: 0.000 μB per cell
Final energy: -30.79 eV/f.u.
Space group: P2_1/m
Offset from the most stable computed form: 0 meV/atom
Energy of formation from the pure elements: 0.050 eV/atom

***

Below is an optimized crystal structure of ErTm2Zr, with properties calculated at the PBE-GGA level.

Unit cell a=3.9754 b=3.9754 c=7.1374 alpha=90.00 beta=90.00 gamma=90.00
Fractional positions:
Zr: 0.5000 0.5000 0.5000
Tm: 0.0000 0.0000 0.7283
Tm: 0.0000 0.0000 0.2717
Er: 0.5000 0.5000 0.0000

Results
Magnetic moment: 0.000 μB per cell
Final energy: -21.41 eV/f.u.
Space group: P4/mmm
Offset from the most stable computed form: 114 meV/atom
Energy of formation from the pure elements: 0.162 eV/atom

***

Below is an optimized crystal structure of Er14TmZr, with properties calculated at the PBE-GGA level.

Unit cell a=7.1239 b=7.1239 c=11.0206 alpha=90.00 beta=90.00 gamma=119.98
Fractional positions:
Er: 0.1667 0.8333 0.7481
Er: 0.1667 0.8333 0.2519
Er: 0.8333 0.1667 0.5000
Er: 0.8343 0.6669 0.0000
Er: 0.6692 0.3308 0.2447
Er: 0.3331 0.1657 0.0000
Er: 0.6692 0.3308 0.7553
Er: 0.6693 0.8387 0.7557
Er: 0.3337 0.6663 0.5000
Er: 0.3336 0.1672 0.5000
Er: 0.6693 0.8387 0.2443
Er: 0.1613 0.3307 0.2443
Er: 0.1613 0.3307 0.7557
Er: 0.8328 0.6664 0.5000
Zr: 0.8332 0.1668 0.0000
Tm: 0.3330 0.6670 0.0000

Results
Magnetic moment: 0.000 μB per cell
Final energy: -76.69 eV/f.u.
Space group: Amm2
Energy of formation from the pure elements: 0.013 eV/atom